Here is an optimized crystal structure of ErHg2 from OQMD via LeMat-Bulk. Energies are from PBE.

Calculated values
Magnetization = 1.419 μB per formula unit
Energy of formation = 80.35 kJ/mol of atoms

a b c (Å): 13.5853 13.5853 13.5853
angles (deg): 90.00 90.00 90.00
With the nearest neighbours (Å) after each atom.
Space group Fd-3m (No. 227, origin choice 2)
Inequivalent atoms, fractional coordinates:
Er 0.1250 0.1250 0.1250 (multiplicity 8)  4 Hg 2.94
Hg 0.0000 0.0000 0.0000 (multiplicity 16)  2 Er 2.94